No. 1
Hf8NbBi2 | PBE | relaxed

Values from the calculation:
**Size of the total moment**: 0.0000 μB/atom
**Volume**: 516 Å³ per cell
**Crystal system**: monoclinic
**Raw total energy**: -8.735 eV per atom

Lattice parameters (Å, degrees): 7.6338 13.7396 5.3716 90.00 113.66 90.00
With the nearest neighbours (Å) after each atom.
Space group C2/m (No. 12)
Inequivalent atoms, fractional coordinates:
Hf 0.0000 0.2039 0.0000 x4  1 Nb 2.80, 2 Bi 3.00
Hf 0.1092 0.5000 0.8041 x4  1 Nb 2.74, 3 Hf 3.01
Hf 0.2075 0.1044 0.6600 x8  5 Hf 2.87-3.19, 2 Bi 2.99-3.07, 1 Nb 3.20
Nb 0.0000 0.0000 0.0000 x2  4 Hf 2.74-2.80
Bi 0.0000 0.3008 0.5000 x4  8 Hf 2.99-3.12


No. 2
HfScNbBi2 | PBE | relaxed

Values from the calculation:
**Size of the total moment**: 0.0000 μB/atom
**Volume**: 138 Å³ per cell
**Crystal system**: tetragonal
**Raw total energy**: -5.784 eV per atom

Lattice parameters (Å, degrees): 5.4402 5.4402 4.6500 90.00 90.00 90.00
With the nearest neighbours (Å) after each atom.
Space group P4/mmm (No. 123)
Inequivalent atoms, fractional coordinates:
Hf 0.0000 0.0000 0.0000 x1  8 Bi 3.58, 4 Nb 3.85
Sc 0.5000 0.5000 0.5000 x1  2 Nb 2.33
Nb 0.5000 0.5000 0.0000 x1  2 Sc 2.33
Bi 0.0000 0.5000 0.5000 x2  2 Sc 2.72


No. 3
HfSc2NbBi | PBE | relaxed

Values from the calculation:
**Size of the total moment**: 0.0001 μB/atom
**Volume**: 145 Å³ per cell
**Crystal system**: tetragonal
**Raw total energy**: -6.270 eV per atom

Lattice parameters (Å, degrees): 5.2476 5.2476 5.2640 90.00 90.00 90.00
With the nearest neighbours (Å) after each atom.
Space group P4/mmm (No. 123)
Inequivalent atoms, fractional coordinates:
Hf 0.0000 0.0000 0.0000 x1  4 Nb 3.71, 8 Sc 3.72
Sc 0.0000 0.5000 0.5000 x2  2 Bi 2.62
Nb 0.5000 0.5000 0.0000 x1  2 Bi 2.63
Bi 0.5000 0.5000 0.5000 x1  4 Sc 2.62, 2 Nb 2.63